Computed, not measured: a relaxed structure of SnSbN2 at the GGA-PBE level of DFT.

Structure (CIF):
```
data_SnSbN2
_chemical_formula_sum 'Sn4 Sb4 N8'
_cell_length_a 6.1179
_cell_length_b 6.1179
_cell_length_c 6.1179
_cell_angle_alpha 90.00
_cell_angle_beta 90.00
_cell_angle_gamma 90.00
_space_group_name_H-M_alt 'F m -3 m'
_space_group_IT_number 225
_space_group_name_Hall '-F 4 2 3'
loop_
_atom_site_label
_atom_site_type_symbol
_atom_site_fract_x
_atom_site_fract_y
_atom_site_fract_z
Sn1 Sn 0.0000 0.0000 0.0000
Sb1 Sb 0.0000 0.0000 0.5000
N1 N 0.2500 0.2500 0.2500
```

Values from the calculation:
Uncorrected formation energy: 1311 meV/atom
Polymorph energy (0 for the lowest one): 1.065 eV/atom

Computed, not measured: a relaxed structure of Cr3CBr at the GGA-PBE level of DFT.

Structure (CIF):
```
data_Cr3CBr
_chemical_formula_sum 'Cr3 C1 Br1'
_cell_length_a 4.7232
_cell_length_b 4.7232
_cell_length_c 4.7232
_cell_angle_alpha 90.00
_cell_angle_beta 90.00
_cell_angle_gamma 90.00
_space_group_name_H-M_alt 'P m -3 m'
_space_group_IT_number 221
_space_group_name_Hall '-P 4 2 3'
loop_
_atom_site_label
_atom_site_type_symbol
_atom_site_fract_x
_atom_site_fract_y
_atom_site_fract_z
Cr1 Cr 0.0000 0.0000 0.5000
C1 C 0.5000 0.5000 0.5000
Br1 Br 0.0000 0.0000 0.0000
```

Values from the calculation:
Uncorrected formation energy: 2337 meV/atom
Polymorph energy (0 for the lowest one): 1.625 eV/atom

Computed, not measured: a relaxed structure of BaAgSn3 at the GGA-PBE level of DFT.

Structure (CIF):
```
data_BaAgSn3
_chemical_formula_sum 'Ba1 Ag1 Sn3'
_cell_length_a 6.2132
_cell_length_b 6.2132
_cell_length_c 6.2132
_cell_angle_alpha 90.00
_cell_angle_beta 90.00
_cell_angle_gamma 90.00
_space_group_name_H-M_alt 'P m -3 m'
_space_group_IT_number 221
_space_group_name_Hall '-P 4 2 3'
loop_
_atom_site_label
_atom_site_type_symbol
_atom_site_fract_x
_atom_site_fract_y
_atom_site_fract_z
Ba1 Ba 0.0000 0.0000 0.0000
Ag1 Ag 0.5000 0.5000 0.5000
Sn1 Sn 0.0000 0.0000 0.5000
```

Values from the calculation:
Formation energy: 1.148 eV/atom

Computed, not measured: a relaxed structure of Pa2VGa at the GGA-PBE level of DFT.

Structure (CIF):
```
data_Pa2VGa
_chemical_formula_sum 'Pa6 V3 Ga3'
_cell_length_a 3.0452
_cell_length_b 3.0452
_cell_length_c 30.9922
_cell_angle_alpha 90.00
_cell_angle_beta 90.00
_cell_angle_gamma 120.00
_space_group_name_H-M_alt 'R -3 m'
_space_group_IT_number 166
_space_group_name_Hall '-R 3 2"'
loop_
_atom_site_label
_atom_site_type_symbol
_atom_site_fract_x
_atom_site_fract_y
_atom_site_fract_z
Pa1 Pa 0.0000 0.0000 0.0818
V1 V 0.0000 0.0000 0.0000
Ga1 Ga 0.0000 0.0000 0.5000
```

Values from the calculation:
Polymorph energy (0 for the lowest one): 0.335 eV/atom
Formation energy: 0.269 eV/atom

Number 1: energy -19.5 eV/f.u.. Number 2: energy -28.1 eV/f.u.. Number 3: energy -11.0 eV/f.u.. Number 4: energy -30.1 eV/f.u..